Entry 1:
A geometry-optimized BaMgSF2 structure. Source: Alexandria via LeMat-Bulk, functional PBE-GGA.

extended XYZ file:
```
5
Lattice="4.272 0.000 0.000 0.000 4.272 0.000 0.000 0.000 5.245" Properties=species:S:1:pos:R:3 pbc="T T T"
Ba 0.000 0.000 0.000
Mg 2.136 2.136 2.108
S 2.136 2.136 4.577
F 0.000 2.136 1.878
F 2.136 0.000 1.878
```

Uncorrected formation energy: -2.86 eV/atom
Crystal system: tetragonal
Size of the total moment: 0.000 μB per cell

Entry 2:
A geometry-optimized Cr2BSI structure. Source: Alexandria via LeMat-Bulk, functional PBE-GGA.

extended XYZ file:
```
5
Lattice="4.786 0.000 0.000 0.000 4.786 0.000 0.000 0.000 3.868" Properties=species:S:1:pos:R:3 pbc="T T T"
Cr 0.000 2.393 0.000
Cr 2.393 0.000 0.000
B 0.000 0.000 0.000
S 0.000 0.000 1.934
I 2.393 2.393 1.934
```

Uncorrected formation energy: 0.71 eV/atom
Crystal system: tetragonal
Size of the total moment: 8.038 μB per cell

Entry 3:
A geometry-optimized Sr2HoAu structure. Source: Alexandria via LeMat-Bulk, functional PBE-GGA.

extended XYZ file:
```
4
Lattice="1.979 1.143 11.483 -1.979 1.143 11.483 0.000 -2.286 11.483" Properties=species:S:1:pos:R:3 pbc="T T T"
Sr 0.000 0.000 3.650
Sr 0.000 0.000 30.797
Ho 0.000 0.000 0.000
Au 0.000 0.000 17.224
```

Energy of formation: 0.015 eV per atom
Crystal system: trigonal
Size of the total moment: 0.759 μB per cell